No. 1
The following is a PBE calculation of crystalline SrMgCdAg3 at its relaxed geometry, from Alexandria via LeMat-Bulk.

CIF file:
```
data_SrMgCdAg3
_chemical_formula_sum 'Sr2 Mg2 Cd2 Ag6'
_symmetry_space_group_name_H-M 'P 1'
_symmetry_Int_Tables_number 1
_symmetry_space_group_name_Hall 'P 1'
_cell_length_a 7.749
_cell_length_b 7.749
_cell_length_c 6.207
_cell_angle_alpha 90.00
_cell_angle_beta 90.00
_cell_angle_gamma 128.56
loop_
_atom_site_label
_atom_site_type_symbol
_atom_site_fract_x
_atom_site_fract_y
_atom_site_fract_z
Sr1 Sr 0.198 0.802 0.750
Sr2 Sr 0.802 0.198 0.250
Mg1 Mg 0.431 0.569 0.750
Mg2 Mg 0.569 0.431 0.250
Cd1 Cd 0.151 0.849 0.250
Cd2 Cd 0.849 0.151 0.750
Ag1 Ag 0.206 0.206 0.000
Ag2 Ag 0.206 0.206 0.500
Ag3 Ag 0.361 0.639 0.250
Ag4 Ag 0.639 0.361 0.750
Ag5 Ag 0.794 0.794 0.000
Ag6 Ag 0.794 0.794 0.500
```

Computed properties:
* space-group type: Cmcm, No. 63

=====

No. 2
The following is a PBE calculation of crystalline Sr2MgCd3Ag4 at its relaxed geometry, from Alexandria via LeMat-Bulk.

CIF file:
```
data_Sr2MgCd3Ag4
_chemical_formula_sum 'Sr2 Mg1 Cd3 Ag4'
_symmetry_space_group_name_H-M 'P 1'
_symmetry_Int_Tables_number 1
_symmetry_space_group_name_Hall 'P 1'
_cell_length_a 4.745
_cell_length_b 4.745
_cell_length_c 11.517
_cell_angle_alpha 90.00
_cell_angle_beta 90.00
_cell_angle_gamma 90.00
loop_
_atom_site_label
_atom_site_type_symbol
_atom_site_fract_x
_atom_site_fract_y
_atom_site_fract_z
Sr1 Sr 0.000 0.500 0.241
Sr2 Sr 0.500 0.000 0.759
Mg1 Mg 0.000 0.000 0.500
Cd1 Cd 0.000 0.500 0.870
Cd2 Cd 0.500 0.000 0.130
Cd3 Cd 0.500 0.500 0.500
Ag1 Ag 0.000 0.000 0.000
Ag2 Ag 0.000 0.500 0.633
Ag3 Ag 0.500 0.000 0.367
Ag4 Ag 0.500 0.500 0.000
```

Computed properties:
* space-group type: P-4m2, No. 115

=====

No. 3
The following is a PBE calculation of crystalline SrMg2Cd2Ag at its relaxed geometry, from Alexandria via LeMat-Bulk.

CIF file:
```
data_SrMg2Cd2Ag
_chemical_formula_sum 'Sr1 Mg2 Cd2 Ag1'
_symmetry_space_group_name_H-M 'P 1'
_symmetry_Int_Tables_number 1
_symmetry_space_group_name_Hall 'P 1'
_cell_length_a 7.228
_cell_length_b 7.228
_cell_length_c 7.228
_cell_angle_alpha 135.27
_cell_angle_beta 135.27
_cell_angle_gamma 65.11
loop_
_atom_site_label
_atom_site_type_symbol
_atom_site_fract_x
_atom_site_fract_y
_atom_site_fract_z
Sr1 Sr 0.000 0.000 0.000
Mg1 Mg 0.250 0.750 0.500
Mg2 Mg 0.750 0.250 0.500
Cd1 Cd 0.279 0.279 0.000
Cd2 Cd 0.721 0.721 0.000
Ag1 Ag 0.500 0.500 0.000
```

Computed properties:
* space-group type: I4/mmm, No. 139

=====

No. 4
The following is a PBE calculation of crystalline Sr2MgCd4Ag3 at its relaxed geometry, from Alexandria via LeMat-Bulk.

CIF file:
```
data_Sr2MgCd4Ag3
_chemical_formula_sum 'Sr2 Mg1 Cd4 Ag3'
_symmetry_space_group_name_H-M 'P 1'
_symmetry_Int_Tables_number 1
_symmetry_space_group_name_Hall 'P 1'
_cell_length_a 4.408
_cell_length_b 4.408
_cell_length_c 13.296
_cell_angle_alpha 90.00
_cell_angle_beta 90.00
_cell_angle_gamma 90.00
loop_
_atom_site_label
_atom_site_type_symbol
_atom_site_fract_x
_atom_site_fract_y
_atom_site_fract_z
Sr1 Sr 0.000 0.500 0.239
Sr2 Sr 0.500 0.000 0.761
Mg1 Mg 0.000 0.000 0.500
Cd1 Cd 0.000 0.000 0.000
Cd2 Cd 0.000 0.500 0.645
Cd3 Cd 0.500 0.000 0.355
Cd4 Cd 0.500 0.500 0.000
Ag1 Ag 0.000 0.500 0.857
Ag2 Ag 0.500 0.000 0.143
Ag3 Ag 0.500 0.500 0.500
```

Computed properties:
* space-group type: P-4m2, No. 115

=====

no.,total moment (μB/atom),energy relative to the elements (eV/atom)
1,0.00,-0.093
2,0.00,-0.222
3,0.00,0.085
4,0.00,-0.228